# GGA-PBEsol AlTcAg, optimized geometry
# **Fermi-level density of states**: 3.9 states/eV per cell
# **Raw total energy**: -6.052 eV per atom
# **E above lowest polymorph**: 0.0 meV per atom
# **Calculated formation energy**: 0.171 eV per atom
data_AlTcAg
_chemical_formula_sum 'Al1 Tc1 Ag1'
_space_group_name_H-M_alt 'P -6 m 2'
_space_group_IT_number 187
_space_group_name_Hall 'P -6 2'
_cell_length_a 4.3704
_cell_length_b 4.3704
_cell_length_c 2.7108
_cell_angle_alpha 90.00
_cell_angle_beta 90.00
_cell_angle_gamma 120.00
loop_
_atom_site_label
_atom_site_type_symbol
_atom_site_fract_x
_atom_site_fract_y
_atom_site_fract_z
_atom_site_occupancy
Al1 Al 0.0000 0.0000 0.0000 1
Tc1 Tc 0.6667 0.3333 0.5000 1
Ag1 Ag 0.3333 0.6667 0.0000 1